(1)
Compound: NbP2IrCl
Source: Alexandria via LeMat-Bulk
Functional: GGA-PBE
Structure: optimized geometry

Lattice parameters (Å, degrees): 4.8628 4.8628 4.6124 90.00 90.00 90.00
With the nearest neighbours (Å) after each atom.
Atoms (fractional coordinates):
P  0.0000  0.5000  0.0000  2 Nb 2.43
P  0.5000  0.0000  0.0000  2 Nb 2.43
Nb  0.0000  0.0000  0.0000  2 Cl 2.31, 4 P 2.43
Ir  0.5000  0.5000  0.5000  8 P 3.35, 4 Cl 3.44
Cl  0.0000  0.0000  0.5000  2 Nb 2.31

## Properties
Energy relative to the lowest polymorph listed for this composition   0.128 eV per atom
Fermi-level density of states   1.42 states/eV per atom
Symmetry   P4/mmm, No. 123

(2)
Compound: Mo2Br
Source: Alexandria via LeMat-Bulk
Functional: GGA-PBE
Structure: optimized geometry

Lattice parameters (Å, degrees): 9.6374 9.6374 4.6841 72.68 72.68 19.30
With the nearest neighbours (Å) after each atom.
Atoms (fractional coordinates):
Mo  0.9397  0.9397  0.2916  4 Mo 2.55-2.73, 2 Br 2.76
Mo  0.5484  0.5484  0.1909  4 Mo 2.55-2.73, 1 Br 2.63
Mo  0.4516  0.4516  0.8091  4 Mo 2.55-2.73, 1 Br 2.63
Mo  0.0603  0.0603  0.7084  4 Mo 2.55-2.73, 2 Br 2.76
Br  0.3307  0.3307  0.6480  3 Mo 2.63-2.76
Br  0.6693  0.6693  0.3520  3 Mo 2.63-2.76

## Properties
Energy relative to the lowest polymorph listed for this composition   0.000 eV per atom
Fermi-level density of states   0.61 states/eV per atom
Symmetry   C2/m, No. 12

(3)
Compound: RbLa2NpO6
Source: Alexandria via LeMat-Bulk
Functional: GGA-PBE
Structure: optimized geometry

Lattice parameters (Å, degrees): 6.2381 6.2381 6.5486 61.56 61.55 60.00
With the nearest neighbours (Å) after each atom.
Atoms (fractional coordinates):
Rb  0.7844  0.7844  0.6468  3 O 2.75
La  0.5297  0.5297  0.4109  6 O 2.40-2.55
La  0.0131  0.0131  0.9608  6 O 2.36-2.54
Np  0.3221  0.3221  0.0336  6 O 2.14-2.20
O  0.5775  0.2618  0.2135  1 Np 2.20, 1 La 2.40
O  0.2618  0.9471  0.2135  1 Np 2.20, 1 La 2.40
O  0.9471  0.5775  0.2135  1 Np 2.20, 1 La 2.40
O  0.3428  0.6918  0.7742  1 Np 2.14, 1 La 2.36
O  0.6918  0.1912  0.7742  1 Np 2.14, 1 La 2.36
O  0.1912  0.3428  0.7742  1 Np 2.14, 1 La 2.36

## Properties
Fermi-level density of states   0.81 states/eV per atom
Symmetry   R3, No. 146
Total energy   -8.336 eV/atom

(4)
Compound: HgWCl
Source: Alexandria via LeMat-Bulk
Functional: GGA-PBE
Structure: optimized geometry

Lattice parameters (Å, degrees): 4.6422 4.6422 2.9236 90.00 90.00 120.00
With the nearest neighbours (Å) after each atom.
Atoms (fractional coordinates):
Cl  0.0000  0.0000  0.8332  3 W 2.68, 2 Cl 2.92
Hg  0.3333  0.6667  0.3335  2 Hg 2.92, 6 Cl 3.05, 6 W 3.05
W  0.6667  0.3333  0.8333  3 Cl 2.68, 2 W 2.92

## Properties
Energy relative to the lowest polymorph listed for this composition   0.614 eV per atom
Fermi-level density of states   0.69 states/eV per atom
Symmetry   P-6m2, No. 187

(5)
Compound: BeNiIrPb2
Source: Alexandria via LeMat-Bulk
Functional: GGA-PBE
Structure: optimized geometry

Lattice parameters (Å, degrees): 5.2295 4.2540 5.2295 90.00 90.00 90.00
With the nearest neighbours (Å) after each atom.
Atoms (fractional coordinates):
Pb  0.0000  0.0000  0.5000  2 Ir 2.61
Pb  0.5000  0.0000  0.0000  2 Ir 2.61
Ni  0.5000  0.5000  0.5000  8 Pb 3.37, 4 Be 3.70
Ir  0.0000  0.0000  0.0000  2 Be 2.13
Be  0.0000  0.5000  0.0000  2 Ir 2.13

## Properties
Fermi-level density of states   0.59 states/eV per atom
Symmetry   P4/mmm, No. 123
Total energy   -4.469 eV/atom

(6)
Compound: ReNiAu2
Source: Alexandria via LeMat-Bulk
Functional: GGA-PBE
Structure: optimized geometry

Lattice parameters (Å, degrees): 4.4545 4.4545 4.4545 60.00 60.00 60.00
With the nearest neighbours (Å) after each atom.
Atoms (fractional coordinates):
Re  0.5000  0.5000  0.5000  8 Au 2.73
Au  0.2500  0.2500  0.2500  4 Re 2.73, 4 Ni 2.73
Au  0.7500  0.7500  0.7500  4 Re 2.73, 4 Ni 2.73
Ni  0.0000  0.0000  0.0000  8 Au 2.73

## Properties
Energy relative to the lowest polymorph listed for this composition   0.453 eV per atom
Fermi-level density of states   2.01 states/eV per atom
Symmetry   Fm-3m, No. 225